Crystalline YAs3S at its relaxed geometry. Source: Alexandria, functional PBE.

a = 5.423 Å, b = 5.423 Å, c = 5.423 Å
α = 90.00°, β = 90.00°, γ = 90.00°
Space group Pm-3m (No. 221)
Asymmetric unit:
Y1 0.000 0.000 0.000
As1 0.000 0.000 0.500
S1 0.500 0.500 0.500

total energy = -20.45 eV/cell
total magnetic moment = 1.8 Bohr magnetons per cell

Crystalline SrMnAg at its relaxed geometry. Source: Alexandria, functional PBE.

a = 3.662 Å, b = 3.662 Å, c = 11.389 Å
α = 90.00°, β = 90.00°, γ = 90.00°
Space group I4mm (No. 107)
Asymmetric unit:
Sr1 0.000 0.000 0.000
Mn1 0.000 0.000 0.709
Ag1 0.000 0.000 0.298

ΔH_f (0 K) = 264 meV/atom
total energy = -25.82 eV/cell
total magnetic moment = 8.4 Bohr magnetons per cell